The following is a GGA-PBE calculation of DyLuFe after structural relaxation, from the Open Quantum Materials Database.

formation energy from the elements: 180 meV per atom
space group: F-43m, No. 216
raw total energy: -5.63 eV per atom
crystal system: cubic

abc: 4.621 4.621 4.621
angles: 60.00 60.00 60.00
Each line ends with the local moment (μB).
Fractional positions:
Fe: 0.000 0.000 0.000  0.14
Dy: 0.250 0.250 0.250  -0.02
Lu: 0.750 0.750 0.750  -0.02